A relaxed structure of LiTlVO3. Source: the Alexandria database, functional GGA+U.

Unit cell a=5.6257 b=10.5395 c=5.4915 alpha=90.00 beta=90.00 gamma=90.00
Closest atoms and distances in Å follow each position.
Space group Cmcm (No. 63)
Inequivalent atoms, fractional coordinates:
Li  0.0000  0.0627  0.2500 [4 per cell]  5 O 2.17-2.25
Tl  0.0000  0.2346  0.7500 [4 per cell]  4 O 2.78-2.82
V  0.0000  0.4426  0.2500 [4 per cell]  1 O 1.75
O  0.0000  0.2762  0.2500 [4 per cell]  1 V 1.75
O  0.2262  0.5000  0.0000 [8 per cell]  2 V 1.97, 2 Li 2.17

## Properties
Its energy is -147.3 eV for the cell shown. For the density of states at the Fermi level, the calculation gives 0.000 states/eV/cell.